Record 1
Here is a geometry-optimized MgScNi structure from Alexandria via LeMat-Bulk. Energies are from GGA-PBE.

## Properties
**Crystal system**: orthorhombic

Lattice parameters (Å, degrees): 4.465 3.154 10.947 90.00 90.00 135.06
Sites, in units of the cell vectors:
Mg  0.694  0.389  0.000
Mg  0.194  0.389  0.500
Ni  0.694  0.389  0.353
Ni  0.694  0.389  0.647
Sc  0.194  0.389  0.779
Sc  0.194  0.389  0.221

Record 2
Here is a geometry-optimized SmYMg3 structure from Alexandria via LeMat-Bulk. Energies are from GGA-PBE.

## Properties
**Energy relative to the lowest polymorph listed for this composition**: 0.00 eV/f.u.
**Crystal system**: monoclinic

Lattice parameters (Å, degrees): 5.227 11.443 11.443 55.24 76.79 76.79
Sites, in units of the cell vectors:
Sm  0.052  0.323  0.075
Sm  0.552  0.075  0.323
Sm  0.448  0.925  0.677
Sm  0.948  0.677  0.925
Y  0.250  0.630  0.370
Y  0.250  0.127  0.873
Y  0.750  0.370  0.630
Y  0.750  0.873  0.127
Mg  0.653  0.221  0.974
Mg  0.153  0.974  0.221
Mg  0.847  0.026  0.779
Mg  0.347  0.779  0.026
Mg  0.943  0.165  0.452
Mg  0.443  0.452  0.165
Mg  0.557  0.548  0.835
Mg  0.057  0.835  0.548
Mg  0.860  0.506  0.277
Mg  0.360  0.277  0.506
Mg  0.640  0.723  0.494
Mg  0.140  0.494  0.723

no.,energy relative to the elements (eV/atom),magnetization (Bohr magnetons per cell),volume (Å³/cell)
1,-0.26,0.00,108.9
2,-0.05,0.05,543.3